a.
MnFe2Tc | meta-GGA SCAN | PBEsol geometry

Unit cell a=2.837 b=2.837 c=5.809 alpha=90.00 beta=90.00 gamma=90.00
Sites, in units of the cell vectors:
Mn 0.000 0.000 0.000
Fe 0.000 0.000 0.527
Fe 0.500 0.500 0.758
Tc 0.500 0.500 0.259

Results
- ρ (g/cm³) = 9.4
- M_tot (μB/cell) = 6.9
- V (A^3/atom) = 11.69

=====

b.
MnFe2Tc | meta-GGA SCAN | PBEsol geometry

Unit cell a=4.046 b=4.046 c=4.046 alpha=60.00 beta=60.00 gamma=60.00
Sites, in units of the cell vectors:
Mn 0.000 0.000 0.000
Fe 0.250 0.250 0.250
Fe 0.500 0.500 0.500
Tc 0.750 0.750 0.750

Results
- ρ (g/cm³) = 9.4
- M_tot (μB/cell) = 6.6
- V (A^3/atom) = 11.71

=====

c.
MnFe2Tc | meta-GGA SCAN | PBEsol geometry

Unit cell a=4.023 b=4.023 c=2.881 alpha=90.00 beta=90.00 gamma=90.00
Sites, in units of the cell vectors:
Mn 0.000 0.000 0.000
Fe 0.000 0.500 0.500
Fe 0.500 0.000 0.500
Tc 0.500 0.500 0.000

Results
- ρ (g/cm³) = 9.4
- M_tot (μB/cell) = 6.1
- V (A^3/atom) = 11.66

=====

The structure with the least stability is c.

=====

a.
MnFeTc2 | meta-GGA SCAN | PBEsol geometry

Unit cell a=4.453 b=4.453 c=4.463 alpha=99.78 beta=99.78 gamma=33.95
Sites, in units of the cell vectors:
Mn 0.000 0.000 0.000
Fe 0.262 0.262 0.756
Tc 0.514 0.514 0.527
Tc 0.752 0.752 0.239

Results
- ρ (g/cm³) = 10.5
- M_tot (μB/cell) = 0.0
- V (A^3/atom) = 12.16

=====

b.
MnFeTc2 | meta-GGA SCAN | PBEsol geometry

Unit cell a=3.954 b=4.872 c=4.872 alpha=30.99 beta=90.00 gamma=90.00
Sites, in units of the cell vectors:
Mn 0.000 0.000 0.000
Fe 0.500 0.883 0.883
Tc 0.000 0.270 0.270
Tc 0.500 0.613 0.613

Results
- ρ (g/cm³) = 10.5
- M_tot (μB/cell) = 0.0
- V (A^3/atom) = 12.08

=====

c.
MnFeTc2 | meta-GGA SCAN | PBEsol geometry

Unit cell a=4.152 b=4.152 c=4.152 alpha=60.00 beta=60.00 gamma=60.00
Sites, in units of the cell vectors:
Mn 0.000 0.000 0.000
Fe 0.500 0.500 0.500
Tc 0.250 0.250 0.250
Tc 0.750 0.750 0.750

Results
- ρ (g/cm³) = 10.1
- M_tot (μB/cell) = 5.2
- V (A^3/atom) = 12.65

=====

The structure with the least stability is b.

=====

a.
MnFeTe | meta-GGA SCAN | PBEsol geometry

Unit cell a=4.633 b=4.633 c=4.633 alpha=137.37 beta=137.37 gamma=61.86
Sites, in units of the cell vectors:
Mn 0.000 0.000 0.000
Fe 0.344 0.344 0.000
Te 0.671 0.671 0.000

Results
- ρ (g/cm³) = 8.8
- M_tot (μB/cell) = 6.0
- V (A^3/atom) = 15.02

=====

b.
MnFeTe | meta-GGA SCAN | PBEsol geometry

Unit cell a=4.123 b=4.123 c=3.089 alpha=90.00 beta=90.00 gamma=120.00
Sites, in units of the cell vectors:
Mn 0.000 0.000 0.000
Fe 0.333 0.667 0.500
Te 0.667 0.333 0.500

Results
- ρ (g/cm³) = 8.7
- M_tot (μB/cell) = 4.4
- V (A^3/atom) = 15.16

=====

The structure with the least stability is b.

=====

a.
MnTlFe2 | meta-GGA SCAN | PBEsol geometry

Unit cell a=4.879 b=4.879 c=4.879 alpha=142.11 beta=128.73 gamma=65.49
Sites, in units of the cell vectors:
Mn 0.000 0.000 0.000
Tl 0.500 0.500 0.000
Fe 0.234 0.734 0.500
Fe 0.766 0.266 0.500

Results
- ρ (g/cm³) = 11.2
- M_tot (μB/cell) = 8.4
- V (A^3/atom) = 13.72

=====

b.
MnTlFe2 | meta-GGA SCAN | PBEsol geometry

Unit cell a=3.069 b=3.069 c=5.793 alpha=90.00 beta=90.00 gamma=90.00
Sites, in units of the cell vectors:
Mn 0.000 0.000 0.000
Tl 0.000 0.000 0.500
Fe 0.500 0.500 0.196
Fe 0.500 0.500 0.804

Results
- ρ (g/cm³) = 11.3
- M_tot (μB/cell) = 6.1
- V (A^3/atom) = 13.64

=====

The structure with the least stability is b.

=====

a.
MnFeW2 | meta-GGA SCAN | PBEsol geometry

Unit cell a=2.620 b=4.255 c=4.865 alpha=90.00 beta=98.98 gamma=90.00
Sites, in units of the cell vectors:
Mn 0.000 0.000 0.000
Fe 0.204 0.500 0.742
W 0.480 0.000 0.513
W 0.724 0.500 0.226

Results
- ρ (g/cm³) = 14.8
- M_tot (μB/cell) = 4.0
- V (A^3/atom) = 13.39

=====

b.
MnFeW2 | meta-GGA SCAN | PBEsol geometry

Unit cell a=3.033 b=3.033 c=5.804 alpha=90.00 beta=90.00 gamma=90.00
Sites, in units of the cell vectors:
Mn 0.000 0.000 0.000
Fe 0.500 0.500 0.760
W 0.000 0.000 0.527
W 0.500 0.500 0.234

Results
- ρ (g/cm³) = 14.9
- M_tot (μB/cell) = 3.3
- V (A^3/atom) = 13.35

=====

c.
MnFeW2 | meta-GGA SCAN | PBEsol geometry

Unit cell a=4.231 b=4.231 c=4.231 alpha=60.00 beta=60.00 gamma=60.00
Sites, in units of the cell vectors:
Mn 0.000 0.000 0.000
Fe 0.250 0.250 0.250
W 0.500 0.500 0.500
W 0.750 0.750 0.750

Results
- ρ (g/cm³) = 14.8
- M_tot (μB/cell) = 3.7
- V (A^3/atom) = 13.39

=====

The structure with the least stability is c.

=====

a.
Y2MnFe | meta-GGA SCAN | PBEsol geometry

Unit cell a=3.356 b=3.356 c=6.881 alpha=90.00 beta=90.00 gamma=90.00
Sites, in units of the cell vectors:
Y 0.000 0.000 0.235
Y 0.000 0.000 0.765
Mn 0.500 0.500 0.500
Fe 0.500 0.500 0.000

Results
- ρ (g/cm³) = 6.2
- M_tot (μB/cell) = 5.2
- V (A^3/atom) = 19.38

=====

b.
Y2MnFe | meta-GGA SCAN | PBEsol geometry

Unit cell a=7.668 b=7.668 c=7.668 alpha=27.68 beta=27.68 gamma=27.68
Sites, in units of the cell vectors:
Y 0.000 0.000 0.000
Y 0.187 0.187 0.187
Mn 0.754 0.754 0.754
Fe 0.433 0.433 0.433

Results
- ρ (g/cm³) = 5.6
- M_tot (μB/cell) = 0.0
- V (A^3/atom) = 21.48

=====

c.
Y2MnFe | meta-GGA SCAN | PBEsol geometry

Unit cell a=5.889 b=5.889 c=5.889 alpha=147.57 beta=134.94 gamma=56.61
Sites, in units of the cell vectors:
Y 0.000 0.000 0.000
Y 0.719 0.219 0.500
Mn 0.423 0.423 0.000
Fe 0.275 0.775 0.500

Results
- ρ (g/cm³) = 6.2
- M_tot (μB/cell) = 4.0
- V (A^3/atom) = 19.24

=====

The structure with the least stability is c.

=====

a.
FeNi2Mo | meta-GGA SCAN | PBEsol geometry

Unit cell a=4.348 b=4.348 c=4.348 alpha=131.07 beta=131.07 gamma=71.70
Sites, in units of the cell vectors:
Fe 0.000 0.000 0.000
Ni 0.250 0.750 0.500
Ni 0.500 0.500 0.000
Mo 0.750 0.250 0.500

Results
- ρ (g/cm³) = 9.8
- M_tot (μB/cell) = 1.1
- V (A^3/atom) = 11.43

=====

b.
FeNi2Mo | meta-GGA SCAN | PBEsol geometry

Unit cell a=2.535 b=3.672 c=5.014 alpha=90.00 beta=90.00 gamma=90.00
Sites, in units of the cell vectors:
Fe 0.000 0.000 0.000
Ni 0.500 0.500 0.241
Ni 0.500 0.500 0.759
Mo 0.000 0.000 0.500

Results
- ρ (g/cm³) = 9.6
- M_tot (μB/cell) = 3.4
- V (A^3/atom) = 11.67

=====

c.
FeNi2Mo | meta-GGA SCAN | PBEsol geometry

Unit cell a=2.545 b=2.545 c=7.241 alpha=90.00 beta=90.00 gamma=90.00
Sites, in units of the cell vectors:
Fe 0.000 0.000 0.000
Ni 0.000 0.000 0.539
Ni 0.500 0.500 0.773
Mo 0.500 0.500 0.279

Results
- ρ (g/cm³) = 9.5
- M_tot (μB/cell) = 3.6
- V (A^3/atom) = 11.73

=====

d.
FeNi2Mo | meta-GGA SCAN | PBEsol geometry

Unit cell a=2.537 b=2.537 c=7.288 alpha=90.00 beta=90.00 gamma=90.00
Sites, in units of the cell vectors:
Fe 0.000 0.000 0.000
Ni 0.500 0.500 0.235
Ni 0.500 0.500 0.765
Mo 0.000 0.000 0.500

Results
- ρ (g/cm³) = 9.5
- M_tot (μB/cell) = 3.9
- V (A^3/atom) = 11.73

=====

The structure with the least stability is a.

=====

a.
FeNi2Mo | meta-GGA SCAN | PBEsol geometry

Unit cell a=2.529 b=4.104 c=4.484 alpha=90.00 beta=90.00 gamma=90.00
Sites, in units of the cell vectors:
Fe 0.000 0.000 0.000
Ni 0.500 0.000 0.481
Ni 0.500 0.500 0.172
Mo 0.000 0.500 0.671

Results
- ρ (g/cm³) = 9.6
- M_tot (μB/cell) = 3.0
- V (A^3/atom) = 11.63

=====

b.
FeNi2Mo | meta-GGA SCAN | PBEsol geometry

Unit cell a=4.488 b=4.488 c=4.488 alpha=134.21 beta=134.21 gamma=66.77
Sites, in units of the cell vectors:
Fe 0.000 0.000 0.000
Ni 0.250 0.750 0.500
Ni 0.750 0.250 0.500
Mo 0.500 0.500 0.000

Results
- ρ (g/cm³) = 9.8
- M_tot (μB/cell) = 1.8
- V (A^3/atom) = 11.43

=====

The structure with the least stability is a.

=====

a.
FeMo2Pt | meta-GGA SCAN | PBEsol geometry

Unit cell a=2.690 b=3.777 c=5.422 alpha=90.00 beta=90.00 gamma=90.00
Sites, in units of the cell vectors:
Fe 0.000 0.000 0.000
Mo 0.500 0.500 0.227
Mo 0.500 0.500 0.773
Pt 0.000 0.000 0.500

Results
- ρ (g/cm³) = 13.3
- M_tot (μB/cell) = 0.2
- V (A^3/atom) = 13.77

=====

b.
FeMo2Pt | meta-GGA SCAN | PBEsol geometry

Unit cell a=2.678 b=2.678 c=7.617 alpha=90.00 beta=90.00 gamma=90.00
Sites, in units of the cell vectors:
Fe 0.000 0.000 0.000
Mo 0.500 0.500 0.227
Mo 0.500 0.500 0.773
Pt 0.000 0.000 0.500

Results
- ρ (g/cm³) = 13.5
- M_tot (μB/cell) = 0.0
- V (A^3/atom) = 13.66

=====

The structure with the least stability is a.

=====

a.
FeMo2Pt | meta-GGA SCAN | PBEsol geometry

Unit cell a=2.676 b=4.348 c=4.759 alpha=90.00 beta=90.00 gamma=90.00
Sites, in units of the cell vectors:
Fe 0.000 0.000 0.000
Mo 0.500 0.000 0.486
Mo 0.500 0.500 0.149
Pt 0.000 0.500 0.662

Results
- ρ (g/cm³) = 13.3
- M_tot (μB/cell) = 1.9
- V (A^3/atom) = 13.85

=====

b.
FeMo2Pt | meta-GGA SCAN | PBEsol geometry

Unit cell a=4.719 b=4.719 c=2.669 alpha=90.00 beta=90.00 gamma=111.34
Sites, in units of the cell vectors:
Fe 0.000 0.000 0.000
Mo 0.000 0.500 0.500
Mo 0.500 0.000 0.500
Pt 0.500 0.500 0.000

Results
- ρ (g/cm³) = 13.3
- M_tot (μB/cell) = 1.8
- V (A^3/atom) = 13.84

=====

c.
FeMo2Pt | meta-GGA SCAN | PBEsol geometry

Unit cell a=8.938 b=8.938 c=8.938 alpha=17.39 beta=17.39 gamma=17.39
Sites, in units of the cell vectors:
Fe 0.000 0.000 0.000
Mo 0.255 0.255 0.255
Mo 0.745 0.745 0.745
Pt 0.500 0.500 0.500

Results
- ρ (g/cm³) = 13.2
- M_tot (μB/cell) = 1.3
- V (A^3/atom) = 13.91

=====

The structure with the least stability is c.

=====

a.
FeMo2Pt | meta-GGA SCAN | PBEsol geometry

Unit cell a=4.684 b=4.684 c=4.684 alpha=132.40 beta=132.40 gamma=69.60
Sites, in units of the cell vectors:
Fe 0.000 0.000 0.000
Mo 0.250 0.750 0.500
Mo 0.750 0.250 0.500
Pt 0.500 0.500 0.000

Results
- ρ (g/cm³) = 13.4
- M_tot (μB/cell) = 0.5
- V (A^3/atom) = 13.74

=====

b.
FeMo2Pt | meta-GGA SCAN | PBEsol geometry

Unit cell a=3.232 b=3.232 c=5.447 alpha=90.00 beta=90.00 gamma=90.00
Sites, in units of the cell vectors:
Fe 0.000 0.000 0.000
Mo 0.500 0.500 0.218
Mo 0.500 0.500 0.782
Pt 0.000 0.000 0.500

Results
- ρ (g/cm³) = 12.9
- M_tot (μB/cell) = 1.2
- V (A^3/atom) = 14.22

=====

The structure with the least stability is b.

=====

a.
FeMoPt | meta-GGA SCAN | PBEsol geometry

Unit cell a=4.023 b=4.023 c=4.023 alpha=60.00 beta=60.00 gamma=60.00
Sites, in units of the cell vectors:
Fe 0.000 0.000 0.000
Mo 0.750 0.750 0.750
Pt 0.250 0.250 0.250

Results
- ρ (g/cm³) = 12.5
- M_tot (μB/cell) = 1.3
- V (A^3/atom) = 15.35

=====

b.
FeMoPt | meta-GGA SCAN | PBEsol geometry

Unit cell a=4.667 b=4.667 c=4.667 alpha=146.89 beta=132.07 gamma=59.49
Sites, in units of the cell vectors:
Fe 0.000 0.000 0.000
Mo 0.658 0.658 0.000
Pt 0.332 0.332 0.000

Results
- ρ (g/cm³) = 14.1
- M_tot (μB/cell) = 2.1
- V (A^3/atom) = 13.62

=====

The structure with the least stability is a.